No. 1
Compound: MgOs2Rh
Source: Alexandria
Functional: GGA-PBE
Structure: relaxed

Output
Energy of formation from the pure elements in eV per atom: 0.008
V in Å³ per cell: 59.9
Magnetization in μB per cell: 0.000
ρ in g/cm3: 14.06

```
data_MgOs2Rh
_chemical_formula_sum 'Mg1 Os2 Rh1'
_cell_length_a 2.8148
_cell_length_b 2.8148
_cell_length_c 7.5656
_cell_angle_alpha 90.00
_cell_angle_beta 90.00
_cell_angle_gamma 90.00
_symmetry_space_group_name_H-M 'P 4 m m'
_symmetry_Int_Tables_number 99
loop_
_symmetry_equiv_pos_as_xyz
'x,y,z'
'-y,x,z'
'-x,-y,z'
'y,-x,z'
'-x,y,z'
'y,x,z'
'x,-y,z'
'-y,-x,z'
loop_
_atom_site_label
_atom_site_type_symbol
_atom_site_fract_x
_atom_site_fract_y
_atom_site_fract_z
Mg1 Mg 0.0000 0.0000 0.0000
Os1 Os 0.0000 0.0000 0.4962
Os2 Os 0.5000 0.5000 0.2725
Rh1 Rh 0.5000 0.5000 0.7448
```


No. 2
Compound: MgOs2Rh
Source: Alexandria
Functional: GGA-PBE
Structure: relaxed

Output
Energy of formation from the pure elements in eV per atom: 0.266
V in Å³ per cell: 117.1
Magnetization in μB per cell: 0.000
ρ in g/cm3: 14.40

```
data_MgOs2Rh
_chemical_formula_sum 'Mg2 Os4 Rh2'
_cell_length_a 2.9494
_cell_length_b 4.5229
_cell_length_c 8.7763
_cell_angle_alpha 90.00
_cell_angle_beta 90.00
_cell_angle_gamma 90.00
_symmetry_space_group_name_H-M 'I m m 2'
_symmetry_Int_Tables_number 44
loop_
_symmetry_equiv_pos_as_xyz
'x,y,z'
'-x,-y,z'
'-x,y,z'
'x,-y,z'
'x+1/2,y+1/2,z+1/2'
'-x+1/2,-y+1/2,z+1/2'
'-x+1/2,y+1/2,z+1/2'
'x+1/2,-y+1/2,z+1/2'
loop_
_atom_site_label
_atom_site_type_symbol
_atom_site_fract_x
_atom_site_fract_y
_atom_site_fract_z
Mg1 Mg 0.0000 0.0000 0.0000
Os1 Os 0.0000 0.0000 0.4973
Os2 Os 0.0000 0.5000 0.7531
Rh1 Rh 0.0000 0.5000 0.2577
```


- Look up the magnetization of the first one.
  0.000 μB per cell